Record 1
A geometry-optimized RbMnSi structure. Source: the Alexandria database, functional PBE-GGA.

Lattice parameters (Å, degrees): 4.050 4.051 12.165 97.46 91.49 119.97
Fractional positions:
Rb 0.000 0.000 0.000
Rb 0.224 0.352 0.620
Mn 0.114 0.178 0.315
Mn 0.776 0.505 0.303
Si 0.410 0.787 0.212
Si 0.480 0.897 0.406

Summary:
- Calculated total energy: -5.08 eV per atom
- Theoretical density: 3.28 g/cm3
- Space-group type: No. 1
- Magnetization: 0.64 μB per atom



Record 2
A geometry-optimized RbMnSi2 structure. Source: the Alexandria database, functional PBE-GGA.

Lattice parameters (Å, degrees): 7.713 7.713 7.713 134.29 134.29 66.64
Fractional positions:
Rb 0.375 0.625 0.750
Rb 0.625 0.375 0.250
Mn 0.125 0.875 0.250
Mn 0.875 0.125 0.750
Si 0.000 0.000 0.000
Si 0.000 0.000 0.500
Si 0.000 0.500 0.000
Si 0.500 0.000 0.500

Summary:
- Calculated total energy: -4.97 eV per atom
- Theoretical density: 2.82 g/cm3
- Space-group type: No. 141
- Magnetization: 0.24 μB per atom



Record 3
A geometry-optimized RbMn2Si2 structure. Source: the Alexandria database, functional PBE-GGA.

Lattice parameters (Å, degrees): 7.486 7.486 7.486 148.65 148.65 44.92
Fractional positions:
Rb 0.000 0.000 0.000
Mn 0.250 0.750 0.500
Mn 0.750 0.250 0.500
Si 0.335 0.335 0.000
Si 0.665 0.665 0.000

Summary:
- Calculated total energy: -5.95 eV per atom
- Theoretical density: 3.69 g/cm3
- Space-group type: No. 139
- Magnetization: 0.92 μB per atom